Record 1
NaSmSnPb: optimized geometry, PBE-GGA. Values from VASP.

## Properties
excess energy over the best structure of this formula in the dataset: 0 meV per atom

```
&SYSTEM
  ibrav = 0, nat = 4, ntyp = 4
/
ATOMIC_SPECIES
Na 22.99 Na.upf
Sm 150.36 Sm.upf
Sn 118.71 Sn.upf
Pb 207.20 Pb.upf
CELL_PARAMETERS angstrom
4.583 0.000 0.000
0.000 4.840 0.000
0.000 0.000 4.945
ATOMIC_POSITIONS crystal
Na 0.000 0.000 0.000
Sm 0.000 0.500 0.500
Sn 0.500 0.000 0.500
Pb 0.500 0.500 0.000
```

=====

Record 2
Ba4PrPu3O12: optimized geometry, PBE-GGA. Values from VASP.

## Properties
raw formation energy: -2952 meV/atom

```
&SYSTEM
  ibrav = 0, nat = 20, ntyp = 4
/
ATOMIC_SPECIES
Ba 137.33 Ba.upf
Pr 140.91 Pr.upf
Pu 244.00 Pu.upf
O 16.00 O.upf
CELL_PARAMETERS angstrom
7.700 0.000 0.000
-2.567 7.259 0.000
-2.567 -3.630 6.287
ATOMIC_POSITIONS crystal
Ba 0.500 0.500 0.500
Ba 0.000 0.000 0.500
Ba 0.500 0.000 0.000
Ba 0.000 0.500 0.000
Pr 0.000 0.000 0.000
Pu 0.500 0.000 0.500
Pu 0.500 0.500 0.000
Pu 0.000 0.500 0.500
O 0.250 0.500 0.750
O 0.738 0.000 0.738
O 0.262 0.000 0.262
O 0.750 0.500 0.250
O 0.738 0.738 0.000
O 0.262 0.262 0.000
O 0.750 0.250 0.500
O 0.250 0.750 0.500
O 0.500 0.250 0.750
O 0.000 0.738 0.738
O 0.500 0.750 0.250
O 0.000 0.262 0.262
```

=====

Record 3
HoPa3S4: optimized geometry, PBE-GGA. Values from VASP.

## Properties
raw formation energy: -1686 meV/atom

```
&SYSTEM
  ibrav = 0, nat = 16, ntyp = 3
/
ATOMIC_SPECIES
S 32.06 S.upf
Pa 231.04 Pa.upf
Ho 164.93 Ho.upf
CELL_PARAMETERS angstrom
6.593 0.020 0.000
-2.293 6.500 0.000
0.000 0.000 7.758
ATOMIC_POSITIONS crystal
S 0.998 0.247 0.628
S 0.499 0.245 0.876
S 0.498 0.247 0.372
S 0.999 0.245 0.124
S 0.001 0.755 0.876
S 0.502 0.753 0.628
S 0.501 0.755 0.124
S 0.002 0.753 0.372
Pa 0.750 0.000 0.378
Pa 0.250 0.000 0.622
Pa 0.750 0.500 0.623
Pa 0.750 0.500 0.126
Pa 0.250 0.500 0.377
Pa 0.250 0.500 0.874
Ho 0.750 0.000 0.875
Ho 0.250 0.000 0.125
```

=====

Record 4
Nb3TcIr: optimized geometry, PBE-GGA. Values from VASP.

## Properties
excess energy over the best structure of this formula in the dataset: 0 meV per atom

```
&SYSTEM
  ibrav = 0, nat = 5, ntyp = 3
/
ATOMIC_SPECIES
Nb 92.91 Nb.upf
Ir 192.22 Ir.upf
Tc 98.00 Tc.upf
CELL_PARAMETERS angstrom
-3.916 2.180 1.422
-2.240 -1.515 -3.846
-1.325 -3.881 2.301
ATOMIC_POSITIONS crystal
Nb 0.000 0.500 0.000
Nb 0.000 0.000 0.500
Nb 0.500 0.000 0.000
Ir 0.500 0.500 0.500
Tc 0.000 0.000 0.000
```

=====

Q: Which ρ values were calculated for the entries above? A: 7.56 7.63 9.84 9.09, in g cm⁻³.
Q: Which total moment values were calculated for the entries above? A: 0.0 11.0 0.0 0.0, in μB per cell.